# 1
DFT (GGA-PBE) results for a relaxed Dy2Tm crystal.

Values from the calculation:
Size of the total moment, Bohr magnetons per cell: 0.05
Energy above the lowest structure with this stoichiometry, eV per formula unit: 0.00
Energy of formation, kJ/mol of formula units: 6.2
SG: Cmcm (63)

Cell: 7.856 7.856 4.962 Å, 90.00 90.00 143.21°
Fractional positions:
Dy (0.917, 0.083, 0.250)
Dy (0.250, 0.750, 0.250)
Dy (0.750, 0.250, 0.750)
Dy (0.083, 0.917, 0.750)
Tm (0.583, 0.417, 0.250)
Tm (0.417, 0.583, 0.750)



# 2
DFT (GGA-PBE) results for a relaxed LuHfAu crystal.

Values from the calculation:
Size of the total moment, Bohr magnetons per cell: 0.00
Energy above the lowest structure with this stoichiometry, eV per formula unit: 0.00
Energy of formation, kJ/mol of formula units: -45.4
SG: F-43m (216)

Cell: 4.724 4.724 4.724 Å, 60.00 60.00 60.00°
Fractional positions:
Au (0.000, 0.000, 0.000)
Hf (0.250, 0.250, 0.250)
Lu (0.750, 0.750, 0.750)



# 3
DFT (GGA-PBE) results for a relaxed Rb4CoGeS6 crystal.

Values from the calculation:
Size of the total moment, Bohr magnetons per cell: 3.00
Total energy, eV per atom: -4.16
SG: P1 (1)

Cell: 6.819 7.506 8.839 Å, 71.72 68.50 63.42°
Fractional positions:
Co (0.879, 0.555, 0.680)
Ge (0.124, 0.442, 0.314)
Rb (0.580, 0.699, 0.136)
Rb (0.825, 0.055, 0.316)
Rb (0.175, 0.947, 0.685)
Rb (0.416, 0.308, 0.865)
S (0.109, 0.678, 0.093)
S (0.313, 0.128, 0.275)
S (0.775, 0.480, 0.501)
S (0.225, 0.513, 0.504)
S (0.700, 0.853, 0.729)
S (0.879, 0.343, 0.901)



# 4
DFT (GGA-PBE) results for a relaxed PuCdAs crystal.

Values from the calculation:
Size of the total moment, Bohr magnetons per cell: 5.20
Energy above the lowest structure with this stoichiometry, eV per formula unit: 0.42
SG: F-43m (216)

Cell: 4.899 4.899 4.899 Å, 60.00 60.00 60.00°
Fractional positions:
As (0.250, 0.250, 0.250)
Cd (0.750, 0.750, 0.750)
Pu (0.000, 0.000, 0.000)



# 5
DFT (GGA-PBE) results for a relaxed NdTmCo2Ge2C crystal.

Values from the calculation:
Size of the total moment, Bohr magnetons per cell: 0.01
Total energy, eV per atom: -6.57
SG: Cm (8)

Cell: 5.766 5.766 6.886 Å, 125.78 125.78 40.20°
Fractional positions:
C (0.005, 0.005, 0.015)
Co (0.192, 0.192, 0.083)
Co (0.811, 0.811, 0.921)
Ge (0.833, 0.833, 0.288)
Ge (0.164, 0.164, 0.704)
Nd (0.439, 0.439, 0.701)
Tm (0.556, 0.556, 0.289)



# 6
DFT (GGA-PBE) results for a relaxed SnSbW crystal.

Values from the calculation:
Size of the total moment, Bohr magnetons per cell: 1.23
Energy above the lowest structure with this stoichiometry, eV per formula unit: 0.00
SG: F-43m (216)

Cell: 4.691 4.691 4.691 Å, 60.00 60.00 60.00°
Fractional positions:
Sb (0.250, 0.250, 0.250)
Sn (0.750, 0.750, 0.750)
W (0.000, 0.000, 0.000)



# 7
DFT (GGA-PBE) results for a relaxed Co3Ni2Sn3 crystal.

Values from the calculation:
Size of the total moment, Bohr magnetons per cell: 3.45
Energy above the lowest structure with this stoichiometry, eV per formula unit: 0.00
SG: Amm2 (38)

Cell: 4.522 5.313 5.313 Å, 68.94 90.00 90.00°
Fractional positions:
Co (0.000, 0.716, 0.119)
Co (0.000, 0.119, 0.716)
Co (0.500, 0.829, 0.829)
Ni (0.500, 0.327, 0.327)
Ni (0.000, 0.665, 0.665)
Sn (0.000, 0.200, 0.200)
Sn (0.500, 0.809, 0.336)
Sn (0.500, 0.336, 0.809)



# 8
DFT (GGA-PBE) results for a relaxed NaAu4S4 crystal.

Values from the calculation:
Total energy, eV per atom: -3.52
SG: P-3m1 (164)

Cell: 4.184 4.184 12.786 Å, 90.00 90.00 120.00°
Fractional positions:
Au (0.333, 0.667, 0.144)
Au (0.667, 0.333, 0.332)
Au (0.333, 0.667, 0.668)
Au (0.667, 0.333, 0.856)
Na (0.000, 0.000, 0.500)
S (0.000, 0.000, 0.082)
S (0.333, 0.667, 0.347)
S (0.667, 0.333, 0.653)
S (0.000, 0.000, 0.918)



# 9
DFT (GGA-PBE) results for a relaxed Cs2PdSe3 crystal.

Values from the calculation:
Energy above the lowest structure with this stoichiometry, eV per formula unit: 1.13
SG: P321 (150)

Cell: 8.239 8.239 9.874 Å, 90.00 90.00 120.00°
Fractional positions:
Cs (0.000, 0.000, 0.000)
Cs (0.333, 0.667, 0.388)
Cs (0.000, 0.000, 0.500)
Cs (0.667, 0.333, 0.612)
Pd (0.667, 0.333, 0.229)
Pd (0.333, 0.667, 0.771)
Se (0.745, 0.103, 0.263)
Se (0.358, 0.255, 0.263)
Se (0.897, 0.642, 0.263)
Se (0.255, 0.358, 0.737)
Se (0.103, 0.745, 0.737)
Se (0.642, 0.897, 0.737)



# 10
DFT (GGA-PBE) results for a relaxed DyTm2NiSn3Ir2 crystal.

Values from the calculation:
Size of the total moment, Bohr magnetons per cell: 0.00
Total energy, eV per atom: -6.23
SG: Amm2 (38)

Cell: 3.709 7.565 7.565 Å, 120.12 90.00 90.00°
Fractional positions:
Dy (0.000, 0.407, 0.407)
Ir (0.500, 0.669, 0.332)
Ir (0.500, 0.332, 0.669)
Ni (0.000, 0.999, 0.999)
Sn (0.500, 0.999, 0.257)
Sn (0.500, 0.744, 0.744)
Sn (0.500, 0.257, 0.999)
Tm (0.000, 0.594, 0.000)
Tm (0.000, 0.000, 0.594)



# 11
DFT (GGA-PBE) results for a relaxed La2Ir2O5 crystal.

Values from the calculation:
Size of the total moment, Bohr magnetons per cell: 0.61
Energy above the lowest structure with this stoichiometry, eV per formula unit: 5.30
SG: P4/mmm (123)

Cell: 9.833 3.643 3.643 Å, 90.00 90.00 90.00°
Fractional positions:
Ir (0.000, 0.000, 0.000)
Ir (0.500, 0.000, 0.000)
La (0.268, 0.500, 0.500)
La (0.732, 0.500, 0.500)
O (0.118, 0.500, 0.000)
O (0.882, 0.500, 0.000)
O (0.118, 0.000, 0.500)
O (0.882, 0.000, 0.500)
O (0.500, 0.500, 0.500)



# 12
DFT (GGA-PBE) results for a relaxed LaNi2Pt crystal.

Values from the calculation:
Size of the total moment, Bohr magnetons per cell: 0.46
Energy of formation, kJ/mol of formula units: -219.7
SG: R-3m (166)

Cell: 9.128 9.128 9.128 Å, 33.15 33.15 33.15°
Fractional positions:
La (0.000, 0.000, 0.000)
La (0.137, 0.137, 0.137)
La (0.863, 0.863, 0.863)
Ni (0.584, 0.584, 0.081)
Ni (0.919, 0.416, 0.416)
Ni (0.416, 0.919, 0.416)
Ni (0.584, 0.081, 0.584)
Ni (0.081, 0.584, 0.584)
Ni (0.416, 0.416, 0.919)
Pt (0.332, 0.332, 0.332)
Pt (0.500, 0.500, 0.500)
Pt (0.668, 0.668, 0.668)



# 13
DFT (GGA-PBE) results for a relaxed ZnCoNiAs crystal.

Values from the calculation:
Size of the total moment, Bohr magnetons per cell: 0.94
Energy above the lowest structure with this stoichiometry, eV per formula unit: 0.00
SG: F-43m (216)

Cell: 4.122 4.122 4.122 Å, 60.00 60.00 60.00°
Fractional positions:
As (0.000, 0.000, 0.000)
Co (0.750, 0.750, 0.750)
Ni (0.250, 0.250, 0.250)
Zn (0.500, 0.500, 0.500)



# 14
DFT (GGA-PBE) results for a relaxed Pm2SiO5 crystal.

Values from the calculation:
Size of the total moment, Bohr magnetons per cell: 0.00
Energy above the lowest structure with this stoichiometry, eV per formula unit: 0.02
SG: C2/c (15)

Cell: 6.785 8.067 9.771 Å, 90.79 110.32 114.87°
Fractional positions:
O (0.191, 0.431, 0.046)
O (0.716, 0.140, 0.099)
O (0.047, 0.979, 0.162)
O (0.591, 0.755, 0.165)
O (0.601, 0.423, 0.191)
O (0.486, 0.077, 0.309)
O (0.171, 0.745, 0.335)
O (0.406, 0.521, 0.338)
O (0.976, 0.360, 0.401)
O (0.213, 0.069, 0.454)
O (0.787, 0.931, 0.546)
O (0.024, 0.640, 0.599)
O (0.594, 0.479, 0.662)
O (0.829, 0.255, 0.665)
O (0.514, 0.923, 0.691)
O (0.399, 0.577, 0.809)
O (0.409, 0.245, 0.835)
O (0.953, 0.021, 0.838)
O (0.284, 0.860, 0.901)
O (0.809, 0.569, 0.954)
Pm (0.328, 0.115, 0.041)
Pm (0.952, 0.454, 0.171)
Pm (0.827, 0.046, 0.329)
Pm (0.673, 0.385, 0.459)
Pm (0.327, 0.615, 0.541)
Pm (0.173, 0.954, 0.671)
Pm (0.048, 0.546, 0.829)
Pm (0.672, 0.885, 0.959)
Si (0.453, 0.543, 0.183)
Si (0.226, 0.957, 0.317)
Si (0.774, 0.043, 0.683)
Si (0.547, 0.457, 0.817)



# 15
DFT (GGA-PBE) results for a relaxed CuSbMoIr crystal.

Values from the calculation:
Size of the total moment, Bohr magnetons per cell: 0.05
Energy above the lowest structure with this stoichiometry, eV per formula unit: 0.00
SG: F-43m (216)

Cell: 4.495 4.495 4.495 Å, 60.00 60.00 60.00°
Fractional positions:
Cu (0.750, 0.750, 0.750)
Ir (0.500, 0.500, 0.500)
Mo (0.250, 0.250, 0.250)
Sb (0.000, 0.000, 0.000)



# 16
DFT (GGA-PBE) results for a relaxed RbTe5Mo3 crystal.

Values from the calculation:
Size of the total moment, Bohr magnetons per cell: 4.28
Total energy, eV per atom: -5.59
SG: P6/mmm (191)

Cell: 6.083 6.083 8.408 Å, 90.00 90.00 120.00°
Fractional positions:
Mo (0.500, 0.000, 0.500)
Mo (0.000, 0.500, 0.500)
Mo (0.500, 0.500, 0.500)
Rb (0.000, 0.000, 0.000)
Te (0.667, 0.333, 0.247)
Te (0.333, 0.667, 0.247)
Te (0.000, 0.000, 0.500)
Te (0.667, 0.333, 0.753)
Te (0.333, 0.667, 0.753)



# 17
DFT (GGA-PBE) results for a relaxed USnPt crystal.

Values from the calculation:
Size of the total moment, Bohr magnetons per cell: 7.72
Total energy, eV per atom: -7.45
SG: P-62m (189)

Cell: 6.853 6.853 4.861 Å, 90.00 90.00 120.00°
Fractional positions:
Pt (0.238, 0.000, 0.000)
Pt (0.000, 0.238, 0.000)
Pt (0.762, 0.762, 0.000)
Sn (0.667, 0.333, 0.000)
Sn (0.333, 0.667, 0.000)
Sn (0.000, 0.000, 0.500)
U (0.515, 0.000, 0.500)
U (0.485, 0.485, 0.500)
U (0.000, 0.515, 0.500)



# 18
DFT (GGA-PBE) results for a relaxed CoPb crystal.

Values from the calculation:
Size of the total moment, Bohr magnetons per cell: 1.02
Total energy, eV per atom: -4.83
SG: Pm-3m (221)

Cell: 3.296 4.661 3.301 Å, 90.00 90.00 45.00°
Fractional positions:
Co (0.000, 0.000, 0.000)
Pb (0.000, 0.500, 0.500)



# 19
DFT (GGA-PBE) results for a relaxed Er2SiGeOs crystal.

Values from the calculation:
Size of the total moment, Bohr magnetons per cell: 0.02
Energy above the lowest structure with this stoichiometry, eV per formula unit: 0.00
SG: C2/m (12)

Cell: 5.696 5.696 10.050 Å, 116.05 116.05 43.40°
Fractional positions:
Er (0.186, 0.186, 0.117)
Er (0.994, 0.994, 0.326)
Er (0.006, 0.006, 0.674)
Er (0.814, 0.814, 0.883)
Ge (0.486, 0.486, 0.125)
Ge (0.514, 0.514, 0.875)
Os (0.733, 0.733, 0.375)
Os (0.267, 0.267, 0.625)
Si (0.358, 0.358, 0.440)
Si (0.642, 0.642, 0.560)



# 20
DFT (GGA-PBE) results for a relaxed CoMo3C2 crystal.

Values from the calculation:
Size of the total moment, Bohr magnetons per cell: 2.28
Total energy, eV per atom: -9.48
SG: P6_3/mmc (194)

Cell: 3.016 3.016 18.174 Å, 90.00 90.00 120.00°
Fractional positions:
C (0.333, 0.667, 0.073)
C (0.333, 0.667, 0.427)
C (0.667, 0.333, 0.573)
C (0.667, 0.333, 0.927)
Co (0.000, 0.000, 0.250)
Co (0.000, 0.000, 0.750)
Mo (0.000, 0.000, 0.000)
Mo (0.667, 0.333, 0.137)
Mo (0.667, 0.333, 0.363)
Mo (0.000, 0.000, 0.500)
Mo (0.333, 0.667, 0.637)
Mo (0.333, 0.667, 0.863)